Entry 1:
The following is a GGA-PBE calculation of a relaxed structure of Na4CdIn, from Alexandria.

Results
Its space-group type is No. 216. The offset from the most stable computed form comes out at 0.85 eV per formula unit. As for the calculated total energy: -1.403 eV per atom. As for the spin magnetization: 0.000 Bohr magnetons per cell.

Cell lengths 6.2827, 6.2827, 6.2827 Å; angles 60.00, 60.00, 60.00 degrees
Closest atoms and distances in Å follow each position.
Fractional coordinates of all 6 atoms:
Na1 0.6249 0.6249 0.1252  6 Na 3.14
Na2 0.6249 0.1252 0.6249  6 Na 3.14
Na3 0.6249 0.6249 0.6249  6 Na 3.14
Na4 0.1252 0.6249 0.6249  6 Na 3.14
Cd1 0.0000 0.0000 0.0000  12 Na 3.68, 4 In 3.85
In1 0.2500 0.2500 0.2500  12 Na 3.68, 4 Cd 3.85

=====

Entry 2:
The following is a GGA-PBE calculation of a relaxed structure of Na2CdIn, from Alexandria.

Results
Its space-group type is No. 225. As for the calculated total energy: -1.620 eV per atom. As for the spin magnetization: 0.000 Bohr magnetons per cell.

Cell lengths 5.3266, 5.3266, 5.3266 Å; angles 60.00, 60.00, 60.00 degrees
Closest atoms and distances in Å follow each position.
Fractional coordinates of all 4 atoms:
Na1 0.2500 0.2500 0.2500  4 Cd 3.26, 4 In 3.26
Na2 0.7500 0.7500 0.7500  4 In 3.26, 4 Cd 3.26
Cd1 0.0000 0.0000 0.0000  8 Na 3.26
In1 0.5000 0.5000 0.5000  8 Na 3.26

=====

Entry 3:
The following is a GGA-PBE calculation of a relaxed structure of Na4Cd3In16, from Alexandria.

Results
Its space-group type is No. 123. As for the calculated total energy: -2.286 eV per atom. As for the spin magnetization: 0.000 Bohr magnetons per cell.

Cell lengths 7.3521, 7.3521, 11.7946 Å; angles 90.00, 90.00, 90.00 degrees
Closest atoms and distances in Å follow each position.
Fractional coordinates of all 23 atoms:
Na1 0.5000 0.0000 0.8222  12 In 3.37-3.75
Na2 0.0000 0.5000 0.1778  12 In 3.37-3.75
Na3 0.0000 0.5000 0.8222  12 In 3.37-3.75
Na4 0.5000 0.0000 0.1778  12 In 3.37-3.75
Cd1 0.0000 0.5000 0.5000  8 In 3.05
Cd2 0.0000 0.0000 0.0000  6 In 2.84-3.01
Cd3 0.5000 0.0000 0.5000  8 In 3.05
In1 0.0000 0.0000 0.7596  1 Cd 2.84, 4 In 3.05
In2 0.2899 0.2899 0.0000  1 Cd 3.01, 4 In 3.09-3.27, 4 Na 3.37
In3 0.5000 0.5000 0.7935  8 In 3.14-3.27
In4 0.7101 0.2899 0.0000  1 Cd 3.01, 4 In 3.09-3.27, 4 Na 3.37
In5 0.5000 0.5000 0.2065  8 In 3.14-3.27
In6 0.7101 0.7101 0.0000  1 Cd 3.01, 4 In 3.09-3.27, 4 Na 3.37
In7 0.0000 0.0000 0.2404  1 Cd 2.84, 4 In 3.05
In8 0.7429 0.7429 0.6353  3 In 3.05-3.19, 2 Cd 3.05, 2 Na 3.41
In9 0.7429 0.2571 0.3647  3 In 3.05-3.19, 2 Cd 3.05, 2 Na 3.41
In10 0.2571 0.2571 0.6353  3 In 3.05-3.19, 2 Cd 3.05, 2 Na 3.41
In11 0.2571 0.7429 0.3647  3 In 3.05-3.19, 2 Cd 3.05, 2 Na 3.41
In12 0.2899 0.7101 0.0000  1 Cd 3.01, 4 In 3.09-3.27, 4 Na 3.37
In13 0.7429 0.7429 0.3647  3 In 3.05-3.19, 2 Cd 3.05, 2 Na 3.41
In14 0.7429 0.2571 0.6353  3 In 3.05-3.19, 2 Cd 3.05, 2 Na 3.41
In15 0.2571 0.2571 0.3647  3 In 3.05-3.19, 2 Cd 3.05, 2 Na 3.41
In16 0.2571 0.7429 0.6353  3 In 3.05-3.19, 2 Cd 3.05, 2 Na 3.41

=====

Entry 4:
The following is a GGA-PBE calculation of a relaxed structure of Na2Cd4In3, from Alexandria.

Results
Its space-group type is No. 2. The offset from the most stable computed form comes out at 0.00 eV per formula unit. As for the calculated total energy: -1.681 eV per atom. As for the spin magnetization: 0.000 Bohr magnetons per cell.

Cell lengths 4.7480, 5.5280, 9.7070 Å; angles 76.59, 90.13, 64.41 degrees
Closest atoms and distances in Å follow each position.
Fractional coordinates of all 9 atoms:
Na1 0.3333 0.3343 0.7789  7 Cd 3.21-3.26, 5 In 3.30-3.36
Na2 0.6667 0.6657 0.2211  7 Cd 3.21-3.26, 5 In 3.30-3.36
Cd1 0.6682 0.6680 0.8899  4 In 3.14-3.24, 4 Na 3.21-3.25, 4 Cd 3.32-3.37
Cd2 0.0050 0.9903 0.3350  6 In 3.19-3.38, 3 Na 3.22-3.26, 3 Cd 3.23-3.37
Cd3 0.9950 0.0097 0.6650  6 In 3.19-3.38, 3 Na 3.22-3.26, 3 Cd 3.23-3.37
Cd4 0.3318 0.3320 0.1101  4 In 3.14-3.24, 4 Na 3.21-3.25, 4 Cd 3.32-3.37
In1 0.3369 0.3282 0.4336  6 Cd 3.14-3.38, 3 In 3.19-3.38, 3 Na 3.30-3.36
In2 0.0000 0.0000 0.0000  8 Cd 3.22-3.24, 4 Na 3.33-3.35
In3 0.6631 0.6718 0.5664  6 Cd 3.14-3.38, 3 In 3.19-3.38, 3 Na 3.30-3.36

=====

Entry 5:
The following is a GGA-PBE calculation of a relaxed structure of NaCdIn4, from Alexandria.

Results
Its space-group type is No. 63. The offset from the most stable computed form comes out at 0.01 eV per formula unit. As for the calculated total energy: -2.229 eV per atom. As for the spin magnetization: 0.000 Bohr magnetons per cell.

Cell lengths 3.2773, 10.0042, 9.7554 Å; angles 90.00, 99.67, 90.00 degrees
Closest atoms and distances in Å follow each position.
Fractional coordinates of all 12 atoms:
Na1 0.4225 0.7500 0.8449  2 Na 3.28, 9 In 3.34, 1 Cd 3.36
Na2 0.5775 0.2500 0.1551  2 Na 3.28, 9 In 3.34, 1 Cd 3.36
Cd1 0.2478 0.7500 0.4957  8 In 3.08-3.34, 2 Cd 3.28, 1 Na 3.36
Cd2 0.7522 0.2500 0.5043  8 In 3.08-3.34, 2 Cd 3.28, 1 Na 3.36
In1 0.1705 0.4798 0.3411  3 Cd 3.08-3.23, 3 In 3.28-3.29, 2 Na 3.34
In2 0.8295 0.5202 0.6589  3 Cd 3.08-3.23, 3 In 3.28-3.29, 2 Na 3.34
In3 0.1705 0.0202 0.3411  3 Cd 3.08-3.23, 3 In 3.28-3.29, 2 Na 3.34
In4 0.8295 0.9798 0.6589  3 Cd 3.08-3.23, 3 In 3.28-3.29, 2 Na 3.34
In5 0.5963 0.7500 0.1927  10 In 3.28-3.52, 2 Cd 3.34, 1 Na 3.34
In6 0.4037 0.2500 0.8073  10 In 3.28-3.52, 2 Cd 3.34, 1 Na 3.34
In7 0.0000 0.5000 0.0000  8 In 3.28-3.52, 4 Na 3.34
In8 0.0000 0.0000 0.0000  8 In 3.28-3.52, 4 Na 3.34

=====

Entry 6:
The following is a GGA-PBE calculation of a relaxed structure of NaCd6In2, from Alexandria.

Results
Its space-group type is No. 12. The offset from the most stable computed form comes out at 0.43 eV per formula unit. As for the calculated total energy: -1.343 eV per atom. As for the spin magnetization: 0.000 Bohr magnetons per cell.

Cell lengths 5.7630, 9.1290, 9.1290 Å; angles 39.28, 53.64, 53.64 degrees
Closest atoms and distances in Å follow each position.
Fractional coordinates of all 9 atoms:
Na1 0.0000 0.0000 0.0000  8 Cd 3.24-3.56, 4 In 3.44
Cd1 0.3233 0.9526 0.4564  5 Cd 2.98-3.26, 2 In 3.05-3.12
Cd2 0.6767 0.0474 0.5436  5 Cd 2.98-3.26, 2 In 3.05-3.12
Cd3 0.6767 0.5436 0.0474  5 Cd 2.98-3.26, 2 In 3.05-3.12
Cd4 0.5000 0.2414 0.7585  4 Cd 2.96-3.17, 2 In 3.05, 2 Na 3.24
Cd5 0.5000 0.7585 0.2414  4 Cd 2.96-3.17, 2 In 3.05, 2 Na 3.24
Cd6 0.3233 0.4564 0.9526  5 Cd 2.98-3.26, 2 In 3.05-3.12
In1 0.0777 0.3956 0.3956  6 Cd 3.05-3.12, 1 In 3.11
In2 0.9223 0.6044 0.6044  6 Cd 3.05-3.12, 1 In 3.11

=====

Entry 7:
The following is a GGA-PBE calculation of a relaxed structure of Na2Cd3In8, from Alexandria.

Results
Its space-group type is No. 12. As for the calculated total energy: -2.068 eV per atom. As for the spin magnetization: 0.000 Bohr magnetons per cell.

Cell lengths 6.2682, 8.6042, 8.0395 Å; angles 122.35, 99.58, 90.00 degrees
Closest atoms and distances in Å follow each position.
Fractional coordinates of all 13 atoms:
Na1 0.2369 0.1975 0.3951  7 In 3.10-3.33, 3 Cd 3.18-3.41
Na2 0.7631 0.8025 0.6049  7 In 3.10-3.33, 3 Cd 3.18-3.41
Cd1 0.5000 0.0000 0.0000  6 In 3.09-3.13, 2 Na 3.41
Cd2 0.0000 0.1744 0.0000  1 Cd 3.00, 4 In 3.16-3.19, 2 Na 3.18
Cd3 0.0000 0.8256 0.0000  1 Cd 3.00, 4 In 3.16-3.19, 2 Na 3.18
In1 0.8784 0.5867 0.1735  4 In 3.05-3.23, 1 Na 3.15, 2 Cd 3.19
In2 0.1216 0.4133 0.8265  4 In 3.05-3.23, 1 Na 3.15, 2 Cd 3.19
In3 0.7541 0.2193 0.4386  1 Cd 3.09, 2 Na 3.10-3.20, 5 In 3.14-3.42
In4 0.2459 0.7807 0.5614  1 Cd 3.09, 2 Na 3.10-3.20, 5 In 3.14-3.42
In5 0.5499 0.5767 0.7717  2 Cd 3.13-3.16, 6 In 3.23-3.49, 2 Na 3.28-3.33
In6 0.5499 0.1949 0.7717  2 Cd 3.13-3.16, 6 In 3.23-3.49, 2 Na 3.28-3.33
In7 0.4501 0.8051 0.2283  2 Cd 3.13-3.16, 6 In 3.23-3.49, 2 Na 3.28-3.33
In8 0.4501 0.4233 0.2283  2 Cd 3.13-3.16, 6 In 3.23-3.49, 2 Na 3.28-3.33

=====

Entry 8:
The following is a GGA-PBE calculation of a relaxed structure of NaCd2In4, from Alexandria.

Results
Its space-group type is No. 2. The offset from the most stable computed form comes out at 0.00 eV per formula unit. As for the calculated total energy: -2.041 eV per atom. As for the spin magnetization: 0.000 Bohr magnetons per cell.

Cell lengths 5.5531, 6.5106, 6.5047 Å; angles 81.49, 63.76, 63.78 degrees
Closest atoms and distances in Å follow each position.
Fractional coordinates of all 7 atoms:
Na1 0.0001 0.0000 0.0000  12 In 3.55-3.61
Cd1 0.7172 0.5305 0.5285  2 Cd 2.79-2.84
Cd2 0.2826 0.4695 0.4716  2 Cd 2.79-2.84
In1 0.6969 0.6184 0.9975  4 In 3.03-3.22, 2 Cd 3.13-3.25
In2 0.3031 0.3815 0.0025  4 In 3.03-3.22, 2 Cd 3.13-3.25
In3 0.6969 0.9980 0.6189  4 In 3.03-3.22, 2 Cd 3.13-3.24
In4 0.3032 0.0020 0.3811  4 In 3.03-3.22, 2 Cd 3.13-3.24

=====

Entry 9:
The following is a GGA-PBE calculation of a relaxed structure of Na3CdIn8, from Alexandria.

Results
Its space-group type is No. 160. As for the calculated total energy: -2.265 eV per atom. As for the spin magnetization: 0.000 Bohr magnetons per cell.

Cell lengths 6.2482, 6.2482, 10.6957 Å; angles 73.02, 73.02, 60.00 degrees
Closest atoms and distances in Å follow each position.
Fractional coordinates of all 12 atoms:
Na1 0.3772 0.3772 0.8685  12 In 3.63-3.69, 4 Na 3.73-3.87
Na2 0.9976 0.9976 0.0071  12 In 3.62-3.70, 1 Cd 3.78, 3 Na 3.87
Na3 0.5007 0.5007 0.4980  12 In 3.60-3.66, 1 Na 3.73, 3 Cd 3.79
Cd1 0.8726 0.8726 0.3821  12 In 3.55-3.68, 4 Na 3.78-3.79
In1 0.9376 0.4371 0.1882  6 In 3.10-3.13
In2 0.4373 0.9385 0.6858  6 In 3.07-3.13
In3 0.4371 0.4371 0.1882  6 In 3.10-3.13
In4 0.9385 0.9385 0.6858  6 In 3.07-3.13
In5 0.1872 0.1872 0.4385  6 In 3.07-3.10
In6 0.6886 0.6886 0.9341  6 In 3.09-3.13
In7 0.4371 0.9376 0.1882  6 In 3.10-3.13
In8 0.9385 0.4373 0.6858  6 In 3.07-3.13

=====

Entry 10:
The following is a GGA-PBE calculation of a relaxed structure of NaCd3In3, from Alexandria.

Results
Its space-group type is No. 176. The offset from the most stable computed form comes out at 0.00 eV per formula unit. As for the calculated total energy: -1.775 eV per atom. As for the spin magnetization: 0.000 Bohr magnetons per cell.

Cell lengths 5.2618, 8.7637, 8.7637 Å; angles 120.00, 90.00, 90.00 degrees
Closest atoms and distances in Å follow each position.
Fractional coordinates of all 14 atoms:
Na1 0.2500 0.6667 0.3333  9 In 3.28-3.29, 3 Cd 3.37
Na2 0.7500 0.3333 0.6667  9 In 3.28-3.29, 3 Cd 3.37
Cd1 0.7500 0.1888 0.9579  6 Cd 3.23, 5 In 3.25-3.36, 1 Na 3.37
Cd2 0.7500 0.7691 0.8112  6 Cd 3.23, 5 In 3.25-3.36, 1 Na 3.37
Cd3 0.2500 0.9579 0.7691  6 Cd 3.23, 5 In 3.25-3.36, 1 Na 3.37
Cd4 0.7500 0.0421 0.2309  6 Cd 3.23, 5 In 3.25-3.36, 1 Na 3.37
Cd5 0.2500 0.2309 0.1888  6 Cd 3.23, 5 In 3.25-3.36, 1 Na 3.37
Cd6 0.2500 0.8112 0.0421  6 Cd 3.23, 5 In 3.25-3.36, 1 Na 3.37
In1 0.7500 0.4694 0.3784  5 Cd 3.25-3.36, 4 In 3.26-3.39, 3 Na 3.28-3.29
In2 0.7500 0.9090 0.5306  5 Cd 3.25-3.36, 4 In 3.26-3.39, 3 Na 3.28-3.29
In3 0.2500 0.3784 0.9090  5 Cd 3.25-3.36, 4 In 3.26-3.39, 3 Na 3.28-3.29
In4 0.7500 0.6216 0.0910  5 Cd 3.25-3.36, 4 In 3.26-3.39, 3 Na 3.28-3.29
In5 0.2500 0.0910 0.4694  5 Cd 3.25-3.36, 4 In 3.26-3.39, 3 Na 3.28-3.29
In6 0.2500 0.5306 0.6216  5 Cd 3.25-3.36, 4 In 3.26-3.39, 3 Na 3.28-3.29

=====

Entry 11:
The following is a GGA-PBE calculation of a relaxed structure of Na2Cd4In, from Alexandria.

Results
Its space-group type is No. 139. As for the calculated total energy: -1.115 eV per atom. As for the spin magnetization: 0.000 Bohr magnetons per cell.

Cell lengths 5.5439, 5.5439, 8.9526 Å; angles 108.04, 108.04, 90.00 degrees
Closest atoms and distances in Å follow each position.
Fractional coordinates of all 7 atoms:
Na1 0.6216 0.6216 0.2431  5 Cd 3.04-3.39
Na2 0.3784 0.3784 0.7569  5 Cd 3.04-3.39
Cd1 0.8104 0.8104 0.6207  1 Na 3.04, 1 In 3.05
Cd2 0.1896 0.1896 0.3793  1 Na 3.04, 1 In 3.05
Cd3 0.0000 0.5000 0.0000  2 In 2.77
Cd4 0.5000 0.0000 0.0000  2 In 2.77
In1 0.0000 0.0000 0.0000  6 Cd 2.77-3.05

=====

Entry 12:
The following is a GGA-PBE calculation of a relaxed structure of Na5Cd2In2, from Alexandria.

Results
Its space-group type is No. 12. As for the calculated total energy: -1.643 eV per atom. As for the spin magnetization: 0.000 Bohr magnetons per cell.

Cell lengths 5.1056, 6.0045, 10.1664 Å; angles 62.33, 75.46, 64.84 degrees
Closest atoms and distances in Å follow each position.
Fractional coordinates of all 9 atoms:
Na1 0.3942 0.9742 0.2374  3 Cd 3.27-3.33, 5 Na 3.33-3.47, 4 In 3.36-3.63
Na2 0.6058 0.0258 0.7627  3 Cd 3.27-3.33, 5 Na 3.33-3.47, 4 In 3.36-3.63
Na3 0.0851 0.5009 0.3290  3 Cd 3.19-3.27, 5 Na 3.27-3.47, 2 In 3.47
Na4 0.9149 0.4991 0.6710  3 Cd 3.19-3.27, 5 Na 3.27-3.47, 2 In 3.47
Na5 0.0000 0.0000 0.0000  2 In 3.15, 6 Na 3.27-3.42
Cd1 0.2505 0.9100 0.5889  1 In 3.00, 2 Cd 3.02, 6 Na 3.19-3.33
Cd2 0.7495 0.0900 0.4111  1 In 3.00, 2 Cd 3.02, 6 Na 3.19-3.33
In1 0.2913 0.5093 0.9081  1 Cd 3.00, 2 In 3.11, 2 Na 3.15-3.36
In2 0.7087 0.4907 0.0919  1 Cd 3.00, 2 In 3.11, 2 Na 3.15-3.36